Entry 1:
Compound: TcC3
Source: Alexandria
Functional: PBE
Structure: optimized geometry

Lattice parameters (Å, degrees): 4.1375 4.1583 4.3471 90.00 90.00 90.00
Fractional coordinates of all 8 atoms:
C  0.9070  0.3296  0.0000
C  0.0930  0.8296  0.5000
C  0.0930  0.1704  0.5000
C  0.5842  0.5000  0.0000
C  0.4158  0.0000  0.5000
C  0.9070  0.6704  0.0000
Tc  0.7365  0.5000  0.5000
Tc  0.2635  0.0000  0.0000

Computed properties:
Space-group type: Pmmn (59)
E above lowest polymorph (meV/atom): 713.1
Crystal system: orthorhombic
DFT formation energy (eV/f.u.): 5.98

Entry 2:
Compound: TcC3
Source: Alexandria
Functional: PBE
Structure: optimized geometry

Lattice parameters (Å, degrees): 2.5337 3.1530 4.7251 66.34 90.00 90.00
Fractional coordinates of all 4 atoms:
C  0.0000  0.3787  0.8470
C  0.5000  0.7500  0.7500
C  0.0000  0.1213  0.6530
Tc  0.5000  0.2500  0.2500

Computed properties:
Space-group type: P2/m (10)
E above lowest polymorph (meV/atom): 635.4
Crystal system: monoclinic
DFT formation energy (eV/f.u.): 5.67

Entry 3:
Compound: TcC3
Source: Alexandria
Functional: PBE
Structure: optimized geometry

Lattice parameters (Å, degrees): 5.3748 5.3748 5.3748 150.02 150.02 42.92
Fractional coordinates of all 4 atoms:
Tc  0.0000  0.0000  0.0000
C  0.2500  0.7500  0.5000
C  0.5000  0.5000  0.0000
C  0.7500  0.2500  0.5000

Computed properties:
Space-group type: I4/mmm (139)
E above lowest polymorph (meV/atom): 1633.5
Crystal system: tetragonal
DFT formation energy (eV/f.u.): 9.66

Entry 4:
Compound: Tc3C5
Source: Alexandria
Functional: PBE
Structure: optimized geometry

Lattice parameters (Å, degrees): 2.7480 2.7480 9.3787 90.00 90.00 90.00
Fractional coordinates of all 8 atoms:
Tc  0.5000  0.5000  0.1539
Tc  0.5000  0.5000  0.8461
Tc  0.0000  0.0000  0.5000
C  0.0000  0.0000  0.0000
C  0.5000  0.5000  0.3801
C  0.0000  0.0000  0.2566
C  0.0000  0.0000  0.7434
C  0.5000  0.5000  0.6199

Computed properties:
Space-group type: P4/mmm (123)
E above lowest polymorph (meV/atom): 547.0
Crystal system: tetragonal
DFT formation energy (eV/f.u.): 10.11

Entry 5:
Compound: Tc3C4
Source: Alexandria
Functional: PBE
Structure: optimized geometry

Lattice parameters (Å, degrees): 4.2287 4.2287 4.2287 90.00 90.00 90.00
Fractional coordinates of all 7 atoms:
C  0.5000  0.0000  0.5000
C  0.5000  0.5000  0.0000
C  0.0000  0.5000  0.5000
C  0.0000  0.0000  0.0000
Tc  0.0000  0.0000  0.5000
Tc  0.5000  0.0000  0.0000
Tc  0.0000  0.5000  0.0000

Computed properties:
Space-group type: Pm-3m (221)
E above lowest polymorph (meV/atom): 0.0
Crystal system: cubic
DFT formation energy (eV/f.u.): 6.24

Entry 6:
Compound: TcC
Source: Alexandria
Functional: PBE
Structure: optimized geometry

Lattice parameters (Å, degrees): 2.8923 2.8923 2.8915 90.00 90.00 90.00
Fractional coordinates of all 2 atoms:
C  0.0000  0.0000  0.0000
Tc  0.5000  0.5000  0.0000

Computed properties:
Space-group type: P4/mmm (123)
E above lowest polymorph (meV/atom): 641.0
Crystal system: tetragonal
DFT formation energy (eV/f.u.): 1.72

Entry 7:
Compound: Tc3C
Source: Alexandria
Functional: PBE
Structure: optimized geometry

Lattice parameters (Å, degrees): 4.8293 5.3113 7.6037 90.00 90.00 90.00
Fractional coordinates of all 16 atoms:
Tc  0.6703  0.4629  0.2500
Tc  0.1667  0.3122  0.0722
Tc  0.8333  0.6878  0.9278
Tc  0.1703  0.0371  0.7500
Tc  0.6667  0.1878  0.9278
Tc  0.6667  0.1878  0.5722
Tc  0.1667  0.3122  0.4278
Tc  0.3333  0.8122  0.0722
Tc  0.8297  0.9629  0.2500
Tc  0.8333  0.6878  0.5722
Tc  0.3333  0.8122  0.4278
Tc  0.3297  0.5371  0.7500
C  0.9240  0.3861  0.7500
C  0.4240  0.1139  0.2500
C  0.0760  0.6139  0.2500
C  0.5760  0.8861  0.7500

Computed properties:
Space-group type: Pnma (62)
E above lowest polymorph (meV/atom): 48.7
Crystal system: orthorhombic
DFT formation energy (eV/f.u.): 0.23

Entry 8:
Compound: TcC
Source: Alexandria
Functional: PBE
Structure: optimized geometry

Lattice parameters (Å, degrees): 3.9729 3.9729 3.0443 90.00 90.00 90.00
Fractional coordinates of all 4 atoms:
C  0.7500  0.7500  0.8391
C  0.2500  0.2500  0.1609
Tc  0.7500  0.2500  0.0000
Tc  0.2500  0.7500  0.0000

Computed properties:
Space-group type: P4/nmm (129)
E above lowest polymorph (meV/atom): 517.8
Crystal system: tetragonal
DFT formation energy (eV/f.u.): 1.48

Entry 9:
Compound: TcC3
Source: Alexandria
Functional: PBE
Structure: optimized geometry

Lattice parameters (Å, degrees): 3.9980 3.9980 3.9980 90.00 90.00 90.00
Fractional coordinates of all 4 atoms:
C  0.0000  0.0000  0.5000
C  0.0000  0.5000  0.0000
C  0.5000  0.0000  0.0000
Tc  0.0000  0.0000  0.0000

Computed properties:
Space-group type: Pm-3m (221)
E above lowest polymorph (meV/atom): 1554.2
Crystal system: cubic
DFT formation energy (eV/f.u.): 9.34

Entry 10:
Compound: TcC7
Source: Alexandria
Functional: PBE
Structure: optimized geometry

Lattice parameters (Å, degrees): 4.4489 4.4489 4.4489 60.00 60.00 60.00
Fractional coordinates of all 8 atoms:
C  0.5000  0.0000  0.5000
C  0.5000  0.0000  0.0000
C  0.5000  0.5000  0.5000
C  0.0000  0.5000  0.5000
C  0.0000  0.5000  0.0000
C  0.5000  0.5000  0.0000
C  0.0000  0.0000  0.5000
Tc  0.0000  0.0000  0.0000

Computed properties:
Space-group type: Fm-3m (225)
Crystal system: cubic
DFT formation energy (eV/f.u.): 28.31

Entry 11:
Compound: Tc4C5
Source: Alexandria
Functional: PBE
Structure: optimized geometry

Lattice parameters (Å, degrees): 5.9565 5.9565 5.9565 93.05 93.05 153.35
Fractional coordinates of all 9 atoms:
C  0.2846  0.2846  0.5693
C  0.7154  0.2846  0.0000
C  0.0000  0.0000  0.0000
C  0.7154  0.7154  0.4307
C  0.2846  0.7154  0.0000
Tc  0.0000  0.7552  0.7552
Tc  0.0000  0.2448  0.2448
Tc  0.7552  0.0000  0.7552
Tc  0.2448  0.0000  0.2448

Computed properties:
Space-group type: I4/mmm (139)
E above lowest polymorph (meV/atom): 112.7
Crystal system: tetragonal
DFT formation energy (eV/f.u.): 9.85

Entry 12:
Compound: TcC2
Source: Alexandria
Functional: PBE
Structure: optimized geometry

Lattice parameters (Å, degrees): 2.7055 5.7334 6.8192 90.00 90.00 90.00
Fractional coordinates of all 12 atoms:
C  0.7500  0.9315  0.1180
C  0.2500  0.5685  0.6180
C  0.2500  0.5395  0.0387
C  0.2500  0.0685  0.8820
C  0.7500  0.4315  0.3820
C  0.7500  0.4605  0.9613
C  0.2500  0.0395  0.4613
C  0.7500  0.9605  0.5387
Tc  0.2500  0.2029  0.1837
Tc  0.7500  0.2971  0.6837
Tc  0.2500  0.7029  0.3163
Tc  0.7500  0.7971  0.8163

Computed properties:
Space-group type: Pnma (62)
E above lowest polymorph (meV/atom): 548.3
Crystal system: orthorhombic
DFT formation energy (eV/f.u.): 3.01